Record 1
First-principles (PBE) data for crystalline CaCe2Ru2 at its relaxed geometry, as listed in the Alexandria database.

E_tot = -6.7022 eV/atom
DOS at the Fermi energy = 11.669 states/eV/cell
Size of the total moment = 0.000 μB per atom
Energy relative to the lowest polymorph listed for this composition = 26 meV/atom
ΔE_f = -5.03 kcal/mol of atoms

Unit cell a=3.9477 b=8.2160 c=8.3335 alpha=98.46 beta=76.28 gamma=76.09
Element x y z (fractional)
Ca  0.6523  0.0072  0.6882
Ca  0.3477  0.9928  0.3118
Ce  0.0449  0.5861  0.3239
Ce  0.1733  0.7409  0.9125
Ce  0.9551  0.4139  0.6761
Ce  0.8267  0.2591  0.0875
Ru  0.3502  0.6889  0.6102
Ru  0.3556  0.3663  0.9226
Ru  0.6498  0.3111  0.3898
Ru  0.6444  0.6337  0.0774

Record 2
First-principles (PBE) data for crystalline Sc3HgO at its relaxed geometry, as listed in the Alexandria database.

Formation energy without anion corrections = -1.247 eV per atom
E_tot = -6.0983 eV/atom
DOS at the Fermi energy = 15.461 states/eV/cell
Size of the total moment = 0.000 μB per atom
Energy relative to the lowest polymorph listed for this composition = 245 meV/atom

Unit cell a=14.2228 b=8.6551 c=8.6551 alpha=106.74 beta=136.70 gamma=43.30
Element x y z (fractional)
Sc  0.3718  0.3842  0.4704
Sc  0.1282  0.9704  0.8842
Sc  0.6282  0.6158  0.5296
Sc  0.8718  0.0296  0.1158
Sc  0.1369  0.2699  0.2262
Sc  0.3631  0.7262  0.7699
Sc  0.8631  0.7301  0.7738
Sc  0.6369  0.2738  0.2301
Sc  0.6315  0.9278  0.8926
Sc  0.8685  0.3926  0.4278
Sc  0.3685  0.0722  0.1074
Sc  0.1315  0.6074  0.5722
Hg  0.7500  0.1689  0.6689
Hg  0.2500  0.8311  0.3311
Hg  0.7500  0.4797  0.9797
Hg  0.2500  0.5203  0.0203
O  0.3012  0.2771  0.5613
O  0.1988  0.0613  0.7771
O  0.6988  0.7229  0.4387
O  0.8012  0.9387  0.2229

Record 3
First-principles (PBE) data for crystalline MoPt4W at its relaxed geometry, as listed in the Alexandria database.

E_tot = -7.7770 eV/atom
DOS at the Fermi energy = 4.071 states/eV/cell
Size of the total moment = 0.000 μB per atom
Energy relative to the lowest polymorph listed for this composition = 532 meV/atom
ΔE_f = 4.94 kcal/mol of atoms

Unit cell a=5.1689 b=5.1689 c=5.1689 alpha=60.00 beta=60.00 gamma=60.00
Element x y z (fractional)
Mo  0.0000  0.0000  0.0000
Pt  0.8752  0.3749  0.3749
Pt  0.3749  0.3749  0.8752
Pt  0.3749  0.8752  0.3749
Pt  0.3749  0.3749  0.3749
W  0.7500  0.7500  0.7500

Record 4
First-principles (PBE) data for crystalline Pa2Pb3O8 at its relaxed geometry, as listed in the Alexandria database.

Formation energy without anion corrections = -2.314 eV per atom
E_tot = -7.6823 eV/atom
DOS at the Fermi energy = 0.000 states/eV/cell
Size of the total moment = 0.000 μB per atom

Unit cell a=3.6068 b=10.7236 c=9.9717 alpha=143.53 beta=90.05 gamma=89.96
Element x y z (fractional)
Pa  0.5007  0.3293  0.5689
Pa  0.4994  0.6707  0.4311
Pb  0.5000  0.0000  0.0000
Pb  0.9993  0.2283  0.8682
Pb  0.0007  0.7717  0.1318
O  0.9990  0.6340  0.2640
O  0.0010  0.3660  0.7360
O  0.0004  0.2336  0.3544
O  0.9997  0.7664  0.6456
O  0.5006  0.6563  0.8388
O  0.4991  0.9823  0.6443
O  0.5009  0.0177  0.3557
O  0.4994  0.3437  0.1612